[1]
Entry from Alexandria via LeMat-Bulk: BPdRu3 after structural relaxation (GGA-PBE).

Properties
Energy of formation from the pure elements: 2844 meV/atom
Polymorph energy (0 for the lowest one): 2590 meV/atom
Crystal system: cubic

abc: 4.7373 4.7373 4.7373
angles: 90.00 90.00 90.00
Last column: nearest neighbours and their distance in Å.
Space group Pm-3m (No. 221)
Asymmetric unit:
1 B 0.0000 0.0000 0.0000  12 Ru 3.35
2 Pd 0.5000 0.5000 0.5000  6 Ru 2.37
3 Ru 0.0000 0.5000 0.5000  2 Pd 2.37



[2]
Entry from Alexandria via LeMat-Bulk: Ta2GaAs2 after structural relaxation (GGA-PBE).

Properties
Energy of formation from the pure elements: -225 meV/atom
Polymorph energy (0 for the lowest one): 0 meV/atom
Crystal system: tetragonal

abc: 7.2257 7.2257 3.3972
angles: 90.00 90.00 90.00
Last column: nearest neighbours and their distance in Å.
Space group P4/mbm (No. 127)
Asymmetric unit:
1 Ta 0.1467 0.3533 0.0000  6 As 2.71-2.72, 2 Ga 2.76, 1 Ta 3.00
2 Ga 0.0000 0.0000 0.0000  4 Ta 2.76
3 As 0.1456 0.6456 0.5000  6 Ta 2.71-2.72, 1 As 2.98



[3]
Entry from Alexandria via LeMat-Bulk: TbPm5Ho2Er after structural relaxation (GGA-PBE).

Properties
Energy of formation from the pure elements: 146 meV/atom
Crystal system: orthorhombic

abc: 5.6268 20.2624 10.6723
angles: 90.00 90.00 90.00
Last column: nearest neighbours and their distance in Å.
Space group Cmc2_1 (No. 36)
Asymmetric unit:
1 Tb 0.0000 0.1996 0.0000  2 Ho 3.41-3.66, 8 Pm 3.51-3.81, 2 Er 3.61
2 Pm 0.0000 0.0165 0.0093  2 Er 3.25, 3 Ho 3.46-3.56
3 Pm 0.0000 0.2806 0.3003  1 Er 3.06, 1 Ho 3.36, 2 Pm 3.42
4 Pm 0.0000 0.2978 0.6960  3 Pm 3.42-3.75, 1 Er 3.45, 3 Tb 3.51-3.81, 3 Ho 3.51-3.79
5 Pm 0.0000 0.3875 0.0123  6 Pm 3.54-3.84, 4 Ho 3.60-3.64, 1 Tb 3.81
6 Pm 0.0000 0.4817 0.7328  2 Er 3.21-3.35, 2 Ho 3.51, 2 Pm 3.54
7 Ho 0.0000 0.1113 0.7283  1 Tb 3.41, 7 Pm 3.49-3.79, 2 Er 3.71
8 Ho 0.0000 0.1150 0.3026  9 Pm 3.36-3.71, 1 Tb 3.66
9 Er 0.0000 0.4093 0.4510  5 Pm 3.06-3.35



[4]
Entry from Alexandria via LeMat-Bulk: YSbAs2 after structural relaxation (GGA-PBE).

Properties
Crystal system: monoclinic
ΔE_f (raw): -0.7131 eV per atom

abc: 4.2198 4.1135 5.9742
angles: 90.00 92.55 90.00
Last column: nearest neighbours and their distance in Å.
Space group Pm (No. 6)
Asymmetric unit:
1 Y 0.0000 0.0000 0.0000  6 As 2.92-3.05
2 Sb 0.6114 0.5000 0.4341  3 As 2.74-2.76
3 As 0.0423 0.0000 0.4920  2 Sb 2.76, 2 Y 2.94-3.05
4 As 0.5068 0.5000 0.9784  1 Sb 2.74, 4 Y 2.92-2.97



no.,DOS at the Fermi energy (states/eV/atom)
1,1.290
2,1.004
3,1.602
4,0.055